Version a
Here is an optimized crystal structure of Ca2Ga6Rh from Alexandria via LeMat-Bulk. Energies are from PBE-GGA.

The structure belongs to space group Cmmm (No. 65); the cell edges are 6.970, 11.825 and 4.271 Å and the angles 90.00°, 90.00° and 90.00°. The inequivalent atoms are Ca at (0.000, 0.221, 0.000), Ga at (0.195, 0.368, 0.500), Ga at (0.227, 0.000, 0.000) and Rh at (0.000, 0.000, 0.500).

The volume comes out at 176.0 Å³/f.u.

---

Version b
Here is an optimized crystal structure of Ca2Ga6Rh from Alexandria via LeMat-Bulk. Energies are from PBE-GGA.

The structure belongs to space group C2/m (No. 12); the cell edges are 10.335, 5.846 and 5.987 Å and the angles 90.00°, 106.15° and 90.00°. The inequivalent atoms are Ca at (0.146, 0.000, 0.348), Ga at (0.121, 0.500, 0.185), Ga at (0.131, 0.228, 0.829) and Rh at (0.000, 0.500, 0.500).

The volume comes out at 173.7 Å³/f.u.

---

In terms of stability, version b leads; the second structure lies 0.053 eV/atom higher.

---

Version a
Here is an optimized crystal structure of CaSmGaRh from Alexandria via LeMat-Bulk. Energies are from PBE-GGA.

The structure belongs to space group F-43m (No. 216); the cell edges are 7.101, 7.101 and 7.101 Å and the angles 90.00°, 90.00° and 90.00°. The inequivalent atoms are Ca at (0.000, 0.000, 0.000), Sm at (0.000, 0.000, 0.500), Ga at (0.250, 0.250, 0.250) and Rh at (0.250, 0.250, 0.750).

The volume comes out at 89.5 Å³/f.u.

---

Version b
Here is an optimized crystal structure of CaSmGaRh from Alexandria via LeMat-Bulk. Energies are from PBE-GGA.

The structure belongs to space group Amm2 (No. 38); the cell edges are 4.081, 4.125 and 11.448 Å and the angles 90.00°, 90.00° and 90.00°. The inequivalent atoms are Ca at (0.000, 0.000, 0.000), Sm at (0.500, 0.000, 0.288), Ga at (0.500, 0.000, 0.584) and Rh at (0.000, 0.000, 0.723).

The volume comes out at 96.4 Å³/f.u.

---

In terms of stability, version b leads; the second structure lies 0.110 eV/atom higher.

---

Version a
Here is an optimized crystal structure of CaTbGaRh from Alexandria via LeMat-Bulk. Energies are from PBE-GGA.

The structure belongs to space group F-43m (No. 216); the cell edges are 7.035, 7.035 and 7.035 Å and the angles 90.00°, 90.00° and 90.00°. The inequivalent atoms are Ca at (0.000, 0.000, 0.000), Tb at (0.000, 0.000, 0.500), Ga at (0.250, 0.250, 0.750) and Rh at (0.250, 0.250, 0.250).

The volume comes out at 87.1 Å³/f.u.

---

Version b
Here is an optimized crystal structure of CaTbGaRh from Alexandria via LeMat-Bulk. Energies are from PBE-GGA.

The structure belongs to space group Amm2 (No. 38); the cell edges are 4.056, 4.077 and 11.376 Å and the angles 90.00°, 90.00° and 90.00°. The inequivalent atoms are Ca at (0.000, 0.000, 0.000), Tb at (0.500, 0.000, 0.289), Ga at (0.500, 0.000, 0.587) and Rh at (0.000, 0.000, 0.727).

The volume comes out at 94.1 Å³/f.u.

---

In terms of stability, version b leads; the second structure lies 0.106 eV/atom higher.